VASP calculation (PBE) on a geometry-optimized Eu3HgO structure.

```
5
Lattice="5.0504 0.0000 0.0000 0.0000 5.0504 0.0000 0.0000 0.0000 5.0504" Properties=species:S:1:pos:R:3 pbc="T T T"
Eu 0.0000 0.0000 2.5252
Eu 0.0000 2.5252 0.0000
Eu 2.5252 0.0000 0.0000
Hg 2.5252 2.5252 2.5252
O 0.0000 0.0000 0.0000
```

Results
As for the formation energy (no corrections): -1312 meV/atom. As for the density of states at the Fermi level: 15.0 states/eV per cell. As for the magnetization: 22.1 μB/cell.